## BSe (PBE-GGA)

Data for a geometry-optimized BSe structure.

Total moment in μB per atom: 0.00
Mass density in g cm⁻³: 4.70
Space group: Pmmn, No. 59
Formation energy (no corrections) in meV per atom: 608

```
12
Lattice="3.269 0.000 0.000 0.000 4.742 0.000 0.000 0.000 12.264" Properties=species:S:1:pos:R:3 pbc="T T T"
B 0.000 0.297 7.957
B 1.635 4.445 10.440
B 1.635 4.445 1.825
B 0.000 0.297 4.308
B 0.000 2.143 0.000
B 1.635 2.599 6.132
Se 0.000 3.191 10.464
Se 1.635 1.551 7.933
Se 1.635 1.551 4.332
Se 0.000 3.191 1.801
Se 0.000 3.919 6.132
Se 1.635 0.823 0.000
```